1.
HgAu2Br: optimized geometry, PBE.

Values from the calculation:
The calculation puts the density of states at the Fermi level at 0.3522 states/eV per atom. The raw formation energy is 0.197 eV/atom. As for the relative energy among the computed polymorphs: 0.180 eV per atom. The value obtained for the final energy is -0.07112 hartree per atom.

Cell: 7.0980 7.0980 7.0980 Å, 148.08 148.08 45.77°
With the nearest neighbours (Å) after each atom.
Sites, in units of the cell vectors:
Hg 0.0000 0.0000 0.0000  4 Au 2.76
Au 0.2500 0.7500 0.5000  4 Br 2.76
Au 0.5000 0.5000 0.0000  4 Hg 2.76
Br 0.7500 0.2500 0.5000  4 Au 2.76

2.
KCo2Cu: optimized geometry, PBE.

Values from the calculation:
As for the energy of formation from the pure elements: 0.558 eV per atom. The calculation puts the density of states at the Fermi level at 0.8564 states/eV per atom. As for the relative energy among the computed polymorphs: 0.029 eV per atom. The value obtained for the final energy is -0.15779 hartree per atom.

Cell: 2.9642 2.9596 7.8055 Å, 90.00 90.21 90.00°
With the nearest neighbours (Å) after each atom.
Sites, in units of the cell vectors:
K 0.0000 0.0000 0.0000  4 K 2.96
Co 0.4990 0.5000 0.6633  4 Co 2.36, 1 Cu 2.53
Co 0.9975 0.0000 0.5244  4 Co 2.36, 4 Cu 2.54
Cu 0.4952 0.5000 0.3394  5 Co 2.53-2.54